DFT (PBE) results for an optimized crystal structure of Cd2TcNi.

For the energy above the most stable polymorph in this dataset, the calculation gives 0.000 eV per atom.

It has space group P4mm (No. 99), with a = 2.855 Å, b = 2.855 Å, c = 8.157 Å, α = 90.00°, β = 90.00° and γ = 90.00°. The distinct sites, in fractional coordinates, are Cd at (0.000, 0.000, 0.000), Cd at (0.500, 0.500, 0.311), Tc at (0.500, 0.500, 0.733) and Ni at (0.000, 0.000, 0.548).


DFT (PBE) results for an optimized crystal structure of NbBW2.

It has space group I-42d (No. 122), with a = 7.254 Å, b = 7.254 Å, c = 4.650 Å, α = 90.00°, β = 90.00° and γ = 90.00°. The distinct sites, in fractional coordinates, are Nb at (0.000, 0.000, 0.000), B at (0.000, 0.000, 0.500) and W at (0.151, 0.750, 0.625).


Record order is preserved below.
Fermi-level density of states: 3.4, 2.7 states/eV/cell
Record order is preserved below.
Energy of formation from the pure elements: 66, 96 kJ/mol of formula units